1.
Compound: Ta3CrSe6
Source: the Alexandria database
Functional: PBE-GGA
Structure: optimized geometry

Geometry as extended XYZ:
```
20
Lattice="8.1340 1.5600 1.5950 1.3831 8.1659 1.5950 1.3831 1.4134 8.1993" Properties=species:S:1:pos:R:3 pbc="T T T"
Se 5.5904 4.9329 3.0690
Se 8.8830 7.2053 3.1665
Se 4.8105 2.9419 5.7628
Se 8.0877 2.1932 4.1154
Se 6.0897 8.1974 5.6264
Se 3.8893 8.1740 2.2839
Se 2.8125 8.9461 7.2738
Se 2.0172 3.9340 8.2226
Se 2.8369 5.6532 4.9998
Se 5.3098 6.2064 8.3201
Se 7.0108 2.9653 9.1053
Se 8.0633 5.4861 6.3894
Ta 3.1394 5.8318 2.4015
Ta 2.2029 3.1880 5.8836
Ta 8.6973 7.9513 5.5056
Ta 7.7607 5.3075 8.9877
Ta 5.1379 8.8108 8.0715
Ta 5.7623 2.3285 3.3177
Cr 5.4501 5.5696 5.6946
Cr 0.0000 0.0000 0.0000
```

Summary:
- Excess energy over the best structure of this formula in the dataset: 2.82 eV/f.u.
- D(E_F): 14.14 states/eV/cell
- Formation energy without anion corrections: -0.4825 eV per atom
- Final energy: -7.09 eV/atom
- Crystal system: trigonal
- Symmetry: R-3 (148)
- Total moment: 2.13 μB per formula unit

2.
Compound: Ti2FeMo
Source: the Alexandria database
Functional: PBE-GGA
Structure: optimized geometry

Geometry as extended XYZ:
```
8
Lattice="-5.3072 3.4914 -2.3729 -4.2109 -4.6482 2.5787 -4.8760 0.7878 2.3746" Properties=species:S:1:pos:R:3 pbc="T T T"
Mo -7.4711 1.8504 0.0523
Mo 0.0000 0.0000 0.0000
Ti -4.8900 1.6846 -0.4900
Ti -11.8485 -0.2704 1.8773
Ti -7.3630 0.0060 1.9419
Ti -4.6866 -2.1584 1.8317
Fe -6.9229 -2.2194 2.5281
Fe -4.7590 -0.5784 0.1029
```

Summary:
- D(E_F): 7.20 states/eV/cell
- Energy relative to the elements: 29.18 kJ per mole of atoms
- Final energy: -8.47 eV/atom
- Crystal system: tetragonal
- Symmetry: I-42d (122)
- Total moment: 0.00 μB per formula unit

3.
Compound: LaMo2Ir
Source: the Alexandria database
Functional: PBE-GGA
Structure: optimized geometry

Geometry as extended XYZ:
```
4
Lattice="4.7205 0.0000 0.0000 2.3603 4.0881 0.0000 2.3603 1.3627 3.8543" Properties=species:S:1:pos:R:3 pbc="T T T"
La 7.0808 4.0881 2.8907
Mo 0.0000 0.0000 0.0000
Mo 2.3603 1.3627 0.9636
Ir 4.7205 2.7254 1.9271
```

Summary:
- Excess energy over the best structure of this formula in the dataset: 0.62 eV/f.u.
- D(E_F): 4.33 states/eV/cell
- Energy relative to the elements: 28.90 kJ per mole of atoms
- Final energy: -8.56 eV/atom
- Crystal system: cubic
- Symmetry: F-43m (216)
- Total moment: 0.00 μB per formula unit

4.
Compound: BaAlMo2
Source: the Alexandria database
Functional: PBE-GGA
Structure: optimized geometry

Geometry as extended XYZ:
```
4
Lattice="6.0694 0.0287 -0.0219 2.7814 5.3947 0.0219 -3.6691 -3.9460 2.7940" Properties=species:S:1:pos:R:3 pbc="T T T"
Ba 1.6046 1.9795 1.4079
Mo 3.7170 -0.4165 1.3860
Mo 8.4515 5.1786 0.0000
Al 4.6850 2.8707 0.0000
```

Summary:
- D(E_F): 3.54 states/eV/cell
- Energy relative to the elements: 77.84 kJ per mole of atoms
- Final energy: -6.03 eV/atom
- Crystal system: orthorhombic
- Symmetry: Imm2 (44)
- Total moment: 0.00 μB per formula unit

5.
Compound: CsNaAu3
Source: the Alexandria database
Functional: PBE-GGA
Structure: optimized geometry

Geometry as extended XYZ:
```
5
Lattice="6.3164 0.0000 0.0000 0.0000 6.3164 0.0000 0.0000 0.0000 6.3164" Properties=species:S:1:pos:R:3 pbc="T T T"
Cs 0.0000 0.0000 0.0000
Au 0.0000 3.1582 0.0000
Au 3.1582 0.0000 0.0000
Au 0.0000 0.0000 3.1582
Na 3.1582 3.1582 3.1582
```

Summary:
- Excess energy over the best structure of this formula in the dataset: 2.73 eV/f.u.
- D(E_F): 9.17 states/eV/cell
- Energy relative to the elements: 70.52 kJ per mole of atoms
- Final energy: -1.67 eV/atom
- Crystal system: cubic
- Symmetry: Pm-3m (221)
- Total moment: 0.00 μB per formula unit

6.
Compound: NaLi3
Source: the Alexandria database
Functional: PBE-GGA
Structure: optimized geometry

Geometry as extended XYZ:
```
4
Lattice="5.1603 0.0000 0.0000 2.5801 4.4689 0.0000 2.5801 1.4896 4.2133" Properties=species:S:1:pos:R:3 pbc="T T T"
Li 0.0000 0.0000 0.0000
Li 7.7404 4.4689 3.1600
Li 2.5801 1.4896 1.0533
Na 5.1603 2.9793 2.1067
```

Summary:
- Excess energy over the best structure of this formula in the dataset: 0.16 eV/f.u.
- D(E_F): 1.92 states/eV/cell
- Energy relative to the elements: 5.89 kJ per mole of atoms
- Final energy: -1.70 eV/atom
- Crystal system: cubic
- Symmetry: Fm-3m (225)
- Total moment: 0.00 μB per formula unit

7.
Compound: SiSnAu2
Source: the Alexandria database
Functional: PBE-GGA
Structure: optimized geometry

Geometry as extended XYZ:
```
4
Lattice="-2.5541 -2.5613 -1.7644 1.1591 -3.7716 -0.7926 -2.4479 -3.8559 4.5510" Properties=species:S:1:pos:R:3 pbc="T T T"
Sn -1.9351 -5.1064 1.0343
Au -0.8604 -2.4589 0.2251
Au -2.0414 -3.4982 3.4433
Si -3.3753 -8.0755 2.8392
```

Summary:
- Excess energy over the best structure of this formula in the dataset: 0.17 eV/f.u.
- D(E_F): 1.43 states/eV/cell
- Formation energy without anion corrections: 0.0363 eV per atom
- Final energy: -3.96 eV/atom
- Crystal system: trigonal
- Symmetry: R3m (160)
- Total moment: 0.00 μB per formula unit

8.
Compound: Ac5Ga5Ir2
Source: the Alexandria database
Functional: PBE-GGA
Structure: optimized geometry

Geometry as extended XYZ:
```
12
Lattice="-4.1978 1.5678 0.1412 -4.8175 -6.6299 1.5647 -1.3572 1.9368 9.3211" Properties=species:S:1:pos:R:3 pbc="T T T"
Ir -5.5115 -2.2184 3.1219
Ir -4.8609 -0.9070 7.9050
Ga 0.0000 0.0000 0.0000
Ga -6.5147 1.0422 8.2673
Ga -4.6062 0.1572 3.6600
Ga -5.7662 -3.2826 7.3669
Ga -3.8577 -4.1676 2.7596
Ac -3.9147 1.7534 6.4961
Ac -3.0873 -2.3466 5.4429
Ac -7.4878 -1.6952 9.7319
Ac -2.8846 -1.4302 1.2950
Ac -6.4577 -4.8788 4.5309
```

Summary:
- D(E_F): 10.91 states/eV/cell
- Energy relative to the elements: -53.58 kJ per mole of atoms
- Final energy: -5.01 eV/atom
- Crystal system: monoclinic
- Symmetry: C2/m (12)
- Total moment: 0.00 μB per formula unit

9.
Compound: CuNi2Br
Source: the Alexandria database
Functional: PBE-GGA
Structure: optimized geometry

Geometry as extended XYZ:
```
4
Lattice="-3.1688 -2.4306 1.4379 -3.9945 1.4305 -0.1199 -2.7799 -1.6935 -2.7241" Properties=species:S:1:pos:R:3 pbc="T T T"
Cu 0.0000 0.0000 0.0000
Br -4.9716 -1.3468 -0.7031
Ni -2.4858 -0.6734 -0.3515
Ni -7.4574 -2.0202 -1.0546
```

Summary:
- Excess energy over the best structure of this formula in the dataset: 1.13 eV/f.u.
- D(E_F): 4.55 states/eV/cell
- Formation energy without anion corrections: 0.6023 eV per atom
- Final energy: -3.73 eV/atom
- Crystal system: cubic
- Symmetry: Fm-3m (225)
- Total moment: 0.00 μB per formula unit

10.
Compound: CsCeF4
Source: the Alexandria database
Functional: PBE-GGA
Structure: optimized geometry

Geometry as extended XYZ:
```
24
Lattice="-3.7256 0.7703 -0.5756 -1.2555 -1.2785 6.4154 2.7990 16.3878 3.8136" Properties=species:S:1:pos:R:3 pbc="T T T"
Cs -0.9975 4.2193 5.6726
Cs -0.6632 3.1404 2.0650
Cs -1.1846 11.6603 3.9808
Cs -1.5189 12.7391 7.5884
F 0.2024 10.5198 6.3376
F -0.0187 6.2313 2.0296
F -2.3845 5.3598 3.3158
F -0.1477 16.1061 3.2187
F -2.1634 9.6483 7.6238
F 0.9753 15.1858 7.5791
F -3.4177 2.3467 5.9711
F -1.3597 1.4158 4.2655
F 0.4044 8.8075 2.7384
F 1.2356 13.5328 3.6823
F -0.8224 14.4637 5.3879
F -1.8837 8.9777 4.9163
F -3.1574 0.6937 2.0743
F -2.5865 7.0720 6.9150
F -2.0344 -0.2265 6.4347
F -0.2984 6.9018 4.7371
Ce -3.5817 0.5081 4.5723
Ce -0.3248 8.3113 6.7946
Ce 1.3996 15.3715 5.0811
Ce -1.8573 7.5682 2.8588
```

Summary:
- D(E_F): 28.74 states/eV/cell
- Formation energy without anion corrections: -3.5795 eV per atom
- Final energy: -5.96 eV/atom
- Crystal system: orthorhombic
- Symmetry: Pnma (62)
- Total moment: 1.00 μB per formula unit

11.
Compound: YCr2Ag
Source: the Alexandria database
Functional: PBE-GGA
Structure: optimized geometry

Geometry as extended XYZ:
```
4
Lattice="3.1478 0.0000 0.0000 0.0000 3.1427 0.1316 0.0000 2.8288 7.5201" Properties=species:S:1:pos:R:3 pbc="T T T"
Y 0.0000 2.9934 3.6879
Cr 0.0000 3.1287 0.4481
Cr 1.5739 1.5127 1.4272
Ag 1.5739 4.4651 6.0459
```

Summary:
- Excess energy over the best structure of this formula in the dataset: 0.00 eV/f.u.
- D(E_F): 3.35 states/eV/cell
- Energy relative to the elements: 23.48 kJ per mole of atoms
- Final energy: -6.90 eV/atom
- Crystal system: tetragonal
- Symmetry: P4mm (99)
- Total moment: 0.32 μB per formula unit

12.
Compound: LiSbRh2
Source: the Alexandria database
Functional: PBE-GGA
Structure: optimized geometry

Geometry as extended XYZ:
```
4
Lattice="-0.9116 -2.5375 -2.1387 -1.7207 -2.0740 3.1942 -3.6440 1.9154 -0.7193" Properties=species:S:1:pos:R:3 pbc="T T T"
Rh -2.6823 -0.0793 1.2374
Rh 0.0000 0.0000 0.0000
Sb -1.3161 -2.3058 0.5277
Li -2.2778 -0.3111 -1.4290
```

Summary:
- D(E_F): 1.32 states/eV/cell
- Formation energy without anion corrections: -0.4740 eV per atom
- Final energy: -5.66 eV/atom
- Crystal system: tetragonal
- Symmetry: P4/mmm (123)
- Total moment: 0.00 μB per formula unit

Question: Among the records above, which one has the lowest final energy?
Answer: LaMo2Ir

Question: Number 8 is which compound?
Answer: Ac5Ga5Ir2

Question: The lowest D(E_F) belongs to which entry?
Answer: LiSbRh2